Below is crystalline Cs2Rb2NpO6 at its relaxed geometry, with properties calculated at the PBE level.

## Properties
formation energy (no corrections) = -1.939 eV per atom
symmetry = No. 12
calculated density = 4.733 g cm⁻³
final energy = -6.151 eV/atom

Unit cell a=6.7279 b=6.7279 c=7.0565 alpha=100.27 beta=100.27 gamma=116.10
Atoms (fractional coordinates):
1 Cs 0.1771 0.8229 0.0000
2 Cs 0.8229 0.1771 0.0000
3 Rb 0.3444 0.6556 0.5000
4 Rb 0.6556 0.3444 0.5000
5 Np 0.0000 0.0000 0.5000
6 O 0.0435 0.2971 0.6694
7 O 0.1674 0.1674 0.3181
8 O 0.2971 0.0435 0.6694
9 O 0.7029 0.9565 0.3306
10 O 0.8326 0.8326 0.6819
11 O 0.9565 0.7029 0.3306